[1]
Os3SeF: relaxed, GGA-PBE.

Properties
Formation energy from raw total energies, eV per atom: 1.990
Density, g cm⁻³: 11.6
Uncorrected energy, Ry per atom: -0.428
Relative energy among the computed polymorphs, meV per atom: 31
Crystal system: cubic

CIF file:
```
data_Os3SeF
_cell_length_a 4.579
_cell_length_b 4.579
_cell_length_c 4.579
_cell_angle_alpha 90.00
_cell_angle_beta 90.00
_cell_angle_gamma 90.00
_space_group_name_H-M_alt 'P m -3 m'
_space_group_IT_number 221
_space_group_name_Hall '-P 4 2 3'
loop_
_atom_site_label
_atom_site_type_symbol
_atom_site_fract_x
_atom_site_fract_y
_atom_site_fract_z
_atom_site_occupancy
Os1 Os 0.000 0.000 0.500 1
Se1 Se 0.000 0.000 0.000 1
F1 F 0.500 0.500 0.500 1
```

[2]
Cd2HgRh: relaxed, GGA-PBE.

Properties
Density, g cm⁻³: 11.0
Uncorrected energy, Ry per atom: -0.170
Formation enthalpy at 0 K, eV/atom: 0.06
Crystal system: monoclinic

CIF file:
```
data_Cd2HgRh
_cell_length_a 5.375
_cell_length_b 3.067
_cell_length_c 9.773
_cell_angle_alpha 90.00
_cell_angle_beta 99.39
_cell_angle_gamma 90.00
_space_group_name_H-M_alt 'C 1 m 1'
_space_group_IT_number 8
_space_group_name_Hall 'C -2y'
loop_
_atom_site_label
_atom_site_type_symbol
_atom_site_fract_x
_atom_site_fract_y
_atom_site_fract_z
_atom_site_occupancy
Cd1 Cd 0.000 0.000 0.000 1
Cd2 Cd 0.204 0.000 0.552 1
Hg1 Hg 0.256 0.500 0.276 1
Rh1 Rh 0.102 0.500 0.776 1
```

[3]
Ti2WC3: relaxed, GGA-PBE.

Properties
Density, g cm⁻³: 8.5
Uncorrected energy, Ry per atom: -0.734
Formation enthalpy at 0 K, eV/atom: -0.58
Crystal system: orthorhombic

CIF file:
```
data_Ti2WC3
_cell_length_a 6.132
_cell_length_b 4.346
_cell_length_c 9.229
_cell_angle_alpha 90.00
_cell_angle_beta 90.00
_cell_angle_gamma 90.00
_space_group_name_H-M_alt 'P n m a'
_space_group_IT_number 62
_space_group_name_Hall '-P 2ac 2n'
loop_
_atom_site_label
_atom_site_type_symbol
_atom_site_fract_x
_atom_site_fract_y
_atom_site_fract_z
_atom_site_occupancy
Ti1 Ti 0.122 0.250 0.250 1
Ti2 Ti 0.126 0.250 0.581 1
W1 W 0.131 0.250 0.908 1
C1 C 0.124 0.750 0.250 1
C2 C 0.125 0.750 0.916 1
C3 C 0.127 0.750 0.583 1
```

[4]
GaReBMo2: relaxed, GGA-PBE.

Properties
Density, g cm⁻³: 8.1
Uncorrected energy, Ry per atom: -0.537
Formation enthalpy at 0 K, eV/atom: 1.46
Crystal system: tetragonal

CIF file:
```
data_GaReBMo2
_cell_length_a 4.821
_cell_length_b 4.821
_cell_length_c 4.021
_cell_angle_alpha 90.00
_cell_angle_beta 90.00
_cell_angle_gamma 90.00
_space_group_name_H-M_alt 'P 4/m m m'
_space_group_IT_number 123
_space_group_name_Hall '-P 4 2'
loop_
_atom_site_label
_atom_site_type_symbol
_atom_site_fract_x
_atom_site_fract_y
_atom_site_fract_z
_atom_site_occupancy
Ga1 Ga 0.000 0.000 0.000 1
Re1 Re 0.500 0.500 0.500 1
B1 B 0.500 0.500 0.000 1
Mo1 Mo 0.000 0.500 0.500 1
```

[5]
SmHoMgTc: relaxed, GGA-PBE.

Properties
Density, g cm⁻³: 7.9
Uncorrected energy, Ry per atom: -0.389
Formation enthalpy at 0 K, eV/atom: 0.02
Crystal system: cubic

CIF file:
```
data_SmHoMgTc
_cell_length_a 7.171
_cell_length_b 7.171
_cell_length_c 7.171
_cell_angle_alpha 90.00
_cell_angle_beta 90.00
_cell_angle_gamma 90.00
_space_group_name_H-M_alt 'F -4 3 m'
_space_group_IT_number 216
_space_group_name_Hall 'F -4 2 3'
loop_
_atom_site_label
_atom_site_type_symbol
_atom_site_fract_x
_atom_site_fract_y
_atom_site_fract_z
_atom_site_occupancy
Sm1 Sm 0.000 0.000 0.000 1
Ho1 Ho 0.000 0.000 0.500 1
Mg1 Mg 0.250 0.250 0.250 1
Tc1 Tc 0.250 0.250 0.750 1
```

[6]
Rb3U3OsS8: relaxed, GGA-PBE.

Properties
Formation energy from raw total energies, eV per atom: -1.137
Density, g cm⁻³: 5.8
Uncorrected energy, Ry per atom: -0.481
Crystal system: trigonal

CIF file:
```
data_Rb3U3OsS8
_cell_length_a 7.5988
_cell_length_b 7.5988
_cell_length_c 24.2730
_cell_angle_alpha 90.00
_cell_angle_beta 90.00
_cell_angle_gamma 120.00
_space_group_name_H-M_alt 'R -3 m'
_space_group_IT_number 166
_space_group_name_Hall '-R 3 2"'
loop_
_atom_site_label
_atom_site_type_symbol
_atom_site_fract_x
_atom_site_fract_y
_atom_site_fract_z
_atom_site_occupancy
Rb1 Rb 0.0000 0.5000 0.0000 1
U1 U 0.0000 0.5000 0.5000 1
Os1 Os 0.0000 0.0000 0.5000 1
S1 S 0.0000 0.0000 0.2336 1
S2 S 0.0261 0.5131 0.2276 1
```

[7]
NiTe2SN: relaxed, GGA-PBE.

Properties
Formation energy from raw total energies, eV per atom: 0.604
Density, g cm⁻³: 6.2
Uncorrected energy, Ry per atom: -0.316
Relative energy among the computed polymorphs, meV per atom: 0
Crystal system: tetragonal

CIF file:
```
data_NiTe2SN
_cell_length_a 5.330
_cell_length_b 5.330
_cell_length_c 3.401
_cell_angle_alpha 90.00
_cell_angle_beta 90.00
_cell_angle_gamma 90.00
_space_group_name_H-M_alt 'P 4/m m m'
_space_group_IT_number 123
_space_group_name_Hall '-P 4 2'
loop_
_atom_site_label
_atom_site_type_symbol
_atom_site_fract_x
_atom_site_fract_y
_atom_site_fract_z
_atom_site_occupancy
Ni1 Ni 0.000 0.000 0.000 1
Te1 Te 0.000 0.500 0.000 1
S1 S 0.500 0.500 0.500 1
N1 N 0.000 0.000 0.500 1
```

[8]
La8Tm3Mg: relaxed, GGA-PBE.

Properties
Density, g cm⁻³: 6.1
Uncorrected energy, Ry per atom: -0.299
Formation enthalpy at 0 K, eV/atom: 0.47
Crystal system: tetragonal

CIF file:
```
data_La8Tm3Mg
_cell_length_a 8.689
_cell_length_b 8.689
_cell_length_c 11.909
_cell_angle_alpha 90.00
_cell_angle_beta 90.00
_cell_angle_gamma 90.00
_space_group_name_H-M_alt 'I -4 2 m'
_space_group_IT_number 121
_space_group_name_Hall 'I -4 2'
loop_
_atom_site_label
_atom_site_type_symbol
_atom_site_fract_x
_atom_site_fract_y
_atom_site_fract_z
_atom_site_occupancy
La1 La 0.137 0.137 0.243 1
La2 La 0.244 0.244 0.967 1
Tm1 Tm 0.000 0.000 0.500 1
Tm2 Tm 0.000 0.500 0.250 1
Mg1 Mg 0.000 0.000 0.000 1
```